# TaP2Au PBE-GGA optimized geometry
# - ΔE_f (meV/atom) = -38.6
# - spin magnetization (μB/atom) = 0.000
data_TaP2Au
_space_group_name_H-M_alt 'R -3 m'
_space_group_IT_number 166
_space_group_name_Hall '-R 3 2"'
_cell_length_a 3.1811
_cell_length_b 3.1811
_cell_length_c 23.6679
_cell_angle_alpha 90.00
_cell_angle_beta 90.00
_cell_angle_gamma 120.00
loop_
_atom_site_label
_atom_site_type_symbol
_atom_site_fract_x
_atom_site_fract_y
_atom_site_fract_z
Ta1 Ta 0.0000 0.0000 0.0000
P1 P 0.0000 0.0000 0.2598
Au1 Au 0.0000 0.0000 0.5000

***

# ErInSn4 PBE-GGA optimized geometry
# - ΔE_f (meV/atom) = -90.6
# - spin magnetization (μB/atom) = 0.000
data_ErInSn4
_space_group_name_H-M_alt 'F -4 3 m'
_space_group_IT_number 216
_space_group_name_Hall 'F -4 2 3'
_cell_length_a 8.742
_cell_length_b 8.742
_cell_length_c 8.742
_cell_angle_alpha 90.00
_cell_angle_beta 90.00
_cell_angle_gamma 90.00
loop_
_atom_site_label
_atom_site_type_symbol
_atom_site_fract_x
_atom_site_fract_y
_atom_site_fract_z
Er1 Er 0.000 0.000 0.000
In1 In 0.250 0.250 0.250
Sn1 Sn 0.125 0.125 0.625

***

# CoRuCl3 PBE-GGA optimized geometry
# - uncorrected formation energy (eV per atom) = -0.1647
# - spin magnetization (μB/atom) = 0.200
data_CoRuCl3
_space_group_name_H-M_alt 'C 1 2/m 1'
_space_group_IT_number 12
_cell_length_a 16.081
_cell_length_b 3.503
_cell_length_c 7.843
_cell_angle_alpha 90.00
_cell_angle_beta 105.67
_cell_angle_gamma 90.00
loop_
_space_group_symop_operation_xyz
'x,y,z'
'-x,-y,-z'
'-x,y,-z'
'x,-y,z'
'x+1/2,y+1/2,z'
'-x+1/2,-y+1/2,-z'
'-x+1/2,y+1/2,-z'
'x+1/2,-y+1/2,z'
loop_
_atom_site_label
_atom_site_type_symbol
_atom_site_fract_x
_atom_site_fract_y
_atom_site_fract_z
Co1 Co 0.165 0.000 0.360
Ru1 Ru 0.050 0.500 0.909
Cl1 Cl 0.014 0.000 0.285
Cl2 Cl 0.148 0.000 0.055
Cl3 Cl 0.178 0.500 0.571

***

# BaLaGe4 PBE-GGA optimized geometry
# - ΔE_f (meV/atom) = -392.2
# - spin magnetization (μB/atom) = 0.000
data_BaLaGe4
_space_group_name_H-M_alt 'F -4 3 m'
_space_group_IT_number 216
_space_group_name_Hall 'F -4 2 3'
_cell_length_a 8.395
_cell_length_b 8.395
_cell_length_c 8.395
_cell_angle_alpha 90.00
_cell_angle_beta 90.00
_cell_angle_gamma 90.00
loop_
_atom_site_label
_atom_site_type_symbol
_atom_site_fract_x
_atom_site_fract_y
_atom_site_fract_z
Ba1 Ba 0.000 0.000 0.000
La1 La 0.250 0.250 0.250
Ge1 Ge 0.117 0.117 0.617